Here is crystalline Li2TaCr at its relaxed geometry from the Alexandria database. Energies are from GGA-PBE.

The structure in CIF format:
```
data_Li2TaCr
_chemical_formula_sum 'Li2 Ta1 Cr1'
_symmetry_space_group_name_H-M 'P 1'
_symmetry_Int_Tables_number 1
_cell_length_a 4.686
_cell_length_b 4.686
_cell_length_c 4.686
_cell_angle_alpha 129.99
_cell_angle_beta 129.99
_cell_angle_gamma 73.42
loop_
_symmetry_equiv_pos_as_xyz
'x,y,z'
loop_
_atom_site_label
_atom_site_type_symbol
_atom_site_fract_x
_atom_site_fract_y
_atom_site_fract_z
Li1 Li 0.000 0.000 0.000
Li2 Li 0.750 0.250 0.500
Ta1 Ta 0.250 0.750 0.500
Cr1 Cr 0.500 0.500 0.000
```

Properties
As for the space group: I-4m2 (119). The formation energy from the elements is 655 meV/atom. For the total magnetization, the calculation gives 1.6 Bohr magnetons per cell. As for the total DFT energy (no corrections): -5.67 eV per atom. For the offset from the most stable computed form, the calculation gives 331.1 meV per atom.